No. 1
Density functional theory data (GGA-PBE) for an optimized crystal structure of CdW5.

## Properties
As for the crystal system: monoclinic. The calculated volume is 202.3 Å³ per cell. The calculation puts the energy relative to the lowest polymorph listed for this composition at 66 meV per atom. For the magnetic moment, the calculation gives 0.00 μB per formula unit.

Cell and atoms, written as CIF:
```
data_CdW5
_cell_length_a 10.868
_cell_length_b 2.674
_cell_length_c 7.205
_cell_angle_alpha 90.00
_cell_angle_beta 104.93
_cell_angle_gamma 90.00
_symmetry_space_group_name_H-M 'P 1'
_symmetry_Int_Tables_number 1
loop_
_symmetry_equiv_pos_as_xyz
'x,y,z'
loop_
_atom_site_label
_atom_site_type_symbol
_atom_site_fract_x
_atom_site_fract_y
_atom_site_fract_z
_atom_site_occupancy
Cd1 Cd 0.000 0.000 0.000 1
Cd2 Cd 0.500 0.500 0.000 1
W1 W 0.056 0.000 0.629 1
W2 W 0.165 0.500 0.336 1
W3 W 0.231 0.500 0.956 1
W4 W 0.327 0.000 0.660 1
W5 W 0.398 0.000 0.293 1
W6 W 0.556 0.500 0.629 1
W7 W 0.665 0.000 0.336 1
W8 W 0.731 0.000 0.956 1
W9 W 0.827 0.500 0.660 1
W10 W 0.898 0.500 0.293 1
```


No. 2
Density functional theory data (GGA-PBE) for an optimized crystal structure of CdW.

## Properties
As for the crystal system: tetragonal. The calculated volume is 75.7 Å³ per cell. The calculation puts the energy relative to the lowest polymorph listed for this composition at 0 meV per atom. For the magnetic moment, the calculation gives 0.00 μB per formula unit.

Cell and atoms, written as CIF:
```
data_CdW
_cell_length_a 3.311
_cell_length_b 3.311
_cell_length_c 6.901
_cell_angle_alpha 90.00
_cell_angle_beta 90.00
_cell_angle_gamma 90.00
_symmetry_space_group_name_H-M 'P 1'
_symmetry_Int_Tables_number 1
loop_
_symmetry_equiv_pos_as_xyz
'x,y,z'
loop_
_atom_site_label
_atom_site_type_symbol
_atom_site_fract_x
_atom_site_fract_y
_atom_site_fract_z
_atom_site_occupancy
Cd1 Cd 0.250 0.250 0.135 1
Cd2 Cd 0.750 0.750 0.865 1
W1 W 0.250 0.250 0.585 1
W2 W 0.750 0.750 0.415 1
```


No. 3
Density functional theory data (GGA-PBE) for an optimized crystal structure of Cd3W5.

## Properties
As for the crystal system: monoclinic. The calculated volume is 292.7 Å³ per cell. The calculation puts the energy relative to the lowest polymorph listed for this composition at 148 meV per atom. For the magnetic moment, the calculation gives 0.00 μB per formula unit.

Cell and atoms, written as CIF:
```
data_Cd3W5
_cell_length_a 7.966
_cell_length_b 7.966
_cell_length_c 5.114
_cell_angle_alpha 108.24
_cell_angle_beta 108.24
_cell_angle_gamma 84.53
_symmetry_space_group_name_H-M 'P 1'
_symmetry_Int_Tables_number 1
loop_
_symmetry_equiv_pos_as_xyz
'x,y,z'
loop_
_atom_site_label
_atom_site_type_symbol
_atom_site_fract_x
_atom_site_fract_y
_atom_site_fract_z
_atom_site_occupancy
Cd1 Cd 0.015 0.985 0.750 1
Cd2 Cd 0.127 0.500 0.327 1
Cd3 Cd 0.500 0.127 0.827 1
Cd4 Cd 0.500 0.873 0.173 1
Cd5 Cd 0.873 0.500 0.673 1
Cd6 Cd 0.985 0.015 0.250 1
W1 W 0.198 0.327 0.778 1
W2 W 0.199 0.672 0.949 1
W3 W 0.327 0.198 0.278 1
W4 W 0.328 0.801 0.551 1
W5 W 0.499 0.501 0.750 1
W6 W 0.501 0.499 0.250 1
W7 W 0.672 0.199 0.449 1
W8 W 0.673 0.802 0.722 1
W9 W 0.801 0.328 0.051 1
W10 W 0.802 0.673 0.222 1
```


No. 4
Density functional theory data (GGA-PBE) for an optimized crystal structure of CdW.

## Properties
As for the crystal system: tetragonal. The calculated volume is 168.4 Å³ per cell. The calculation puts the energy relative to the lowest polymorph listed for this composition at 1066 meV per atom. For the magnetic moment, the calculation gives 0.00 μB per formula unit.

Cell and atoms, written as CIF:
```
data_CdW
_cell_length_a 5.482
_cell_length_b 5.482
_cell_length_c 5.603
_cell_angle_alpha 90.00
_cell_angle_beta 90.00
_cell_angle_gamma 90.00
_symmetry_space_group_name_H-M 'P 1'
_symmetry_Int_Tables_number 1
loop_
_symmetry_equiv_pos_as_xyz
'x,y,z'
loop_
_atom_site_label
_atom_site_type_symbol
_atom_site_fract_x
_atom_site_fract_y
_atom_site_fract_z
_atom_site_occupancy
Cd1 Cd 0.175 0.175 0.000 1
Cd2 Cd 0.325 0.675 0.500 1
Cd3 Cd 0.675 0.325 0.500 1
Cd4 Cd 0.825 0.825 0.000 1
W1 W 0.154 0.154 0.500 1
W2 W 0.346 0.654 0.000 1
W3 W 0.654 0.346 0.000 1
W4 W 0.846 0.846 0.500 1
```


No. 5
Density functional theory data (GGA-PBE) for an optimized crystal structure of CdW.

## Properties
As for the crystal system: hexagonal. The calculated volume is 90.1 Å³ per cell. The calculation puts the energy relative to the lowest polymorph listed for this composition at 1017 meV per atom. For the magnetic moment, the calculation gives 0.00 μB per formula unit.

Cell and atoms, written as CIF:
```
data_CdW
_cell_length_a 4.624
_cell_length_b 4.624
_cell_length_c 4.863
_cell_angle_alpha 90.00
_cell_angle_beta 90.00
_cell_angle_gamma 120.00
_symmetry_space_group_name_H-M 'P 1'
_symmetry_Int_Tables_number 1
loop_
_symmetry_equiv_pos_as_xyz
'x,y,z'
loop_
_atom_site_label
_atom_site_type_symbol
_atom_site_fract_x
_atom_site_fract_y
_atom_site_fract_z
_atom_site_occupancy
Cd1 Cd 0.333 0.667 0.250 1
Cd2 Cd 0.667 0.333 0.750 1
W1 W 0.000 0.000 0.000 1
W2 W 0.000 0.000 0.500 1
```


No. 6
Density functional theory data (GGA-PBE) for an optimized crystal structure of CdW.

## Properties
As for the crystal system: hexagonal. The calculated volume is 82.2 Å³ per cell. The calculation puts the energy relative to the lowest polymorph listed for this composition at 1467 meV per atom. For the magnetic moment, the calculation gives 0.00 μB per formula unit.

Cell and atoms, written as CIF:
```
data_CdW
_cell_length_a 4.135
_cell_length_b 4.135
_cell_length_c 5.552
_cell_angle_alpha 90.00
_cell_angle_beta 90.00
_cell_angle_gamma 120.00
_symmetry_space_group_name_H-M 'P 1'
_symmetry_Int_Tables_number 1
loop_
_symmetry_equiv_pos_as_xyz
'x,y,z'
loop_
_atom_site_label
_atom_site_type_symbol
_atom_site_fract_x
_atom_site_fract_y
_atom_site_fract_z
_atom_site_occupancy
Cd1 Cd 0.000 0.000 0.000 1
Cd2 Cd 0.000 0.000 0.500 1
W1 W 0.333 0.667 0.250 1
W2 W 0.667 0.333 0.750 1
```


No. 7
Density functional theory data (GGA-PBE) for an optimized crystal structure of Cd5W3.

## Properties
As for the crystal system: orthorhombic. The calculated volume is 299.5 Å³ per cell. The calculation puts the energy relative to the lowest polymorph listed for this composition at 0 meV per atom. For the magnetic moment, the calculation gives 0.00 μB per formula unit.

Cell and atoms, written as CIF:
```
data_Cd5W3
_cell_length_a 8.009
_cell_length_b 9.064
_cell_length_c 4.125
_cell_angle_alpha 90.00
_cell_angle_beta 90.00
_cell_angle_gamma 90.00
_symmetry_space_group_name_H-M 'P 1'
_symmetry_Int_Tables_number 1
loop_
_symmetry_equiv_pos_as_xyz
'x,y,z'
loop_
_atom_site_label
_atom_site_type_symbol
_atom_site_fract_x
_atom_site_fract_y
_atom_site_fract_z
_atom_site_occupancy
Cd1 Cd 0.000 0.000 0.000 1
Cd2 Cd 0.000 0.236 0.500 1
Cd3 Cd 0.000 0.764 0.500 1
Cd4 Cd 0.250 0.250 0.000 1
Cd5 Cd 0.250 0.750 0.000 1
Cd6 Cd 0.500 0.264 0.500 1
Cd7 Cd 0.500 0.500 0.000 1
Cd8 Cd 0.500 0.736 0.500 1
Cd9 Cd 0.750 0.250 0.000 1
Cd10 Cd 0.750 0.750 0.000 1
W1 W 0.000 0.500 0.000 1
W2 W 0.216 0.500 0.500 1
W3 W 0.284 0.000 0.500 1
W4 W 0.500 0.000 0.000 1
W5 W 0.716 0.000 0.500 1
W6 W 0.784 0.500 0.500 1
```


No. 8
Density functional theory data (GGA-PBE) for an optimized crystal structure of CdW.

## Properties
As for the crystal system: trigonal. The calculated volume is 72.8 Å³ per cell. The calculation puts the energy relative to the lowest polymorph listed for this composition at 30 meV per atom. For the magnetic moment, the calculation gives 0.00 μB per formula unit.

Cell and atoms, written as CIF:
```
data_CdW
_cell_length_a 2.877
_cell_length_b 2.877
_cell_length_c 10.157
_cell_angle_alpha 90.00
_cell_angle_beta 90.00
_cell_angle_gamma 120.00
_symmetry_space_group_name_H-M 'P 1'
_symmetry_Int_Tables_number 1
loop_
_symmetry_equiv_pos_as_xyz
'x,y,z'
loop_
_atom_site_label
_atom_site_type_symbol
_atom_site_fract_x
_atom_site_fract_y
_atom_site_fract_z
_atom_site_occupancy
Cd1 Cd 0.333 0.667 0.367 1
Cd2 Cd 0.667 0.333 0.633 1
W1 W 0.333 0.667 0.883 1
W2 W 0.667 0.333 0.117 1
```


No. 9
Density functional theory data (GGA-PBE) for an optimized crystal structure of CdW.

## Properties
As for the crystal system: tetragonal. The calculated volume is 310.3 Å³ per cell. The calculation puts the energy relative to the lowest polymorph listed for this composition at 234 meV per atom. For the magnetic moment, the calculation gives 0.00 μB per formula unit.

Cell and atoms, written as CIF:
```
data_CdW
_cell_length_a 10.166
_cell_length_b 10.166
_cell_length_c 3.002
_cell_angle_alpha 90.00
_cell_angle_beta 90.00
_cell_angle_gamma 90.00
_symmetry_space_group_name_H-M 'P 1'
_symmetry_Int_Tables_number 1
loop_
_symmetry_equiv_pos_as_xyz
'x,y,z'
loop_
_atom_site_label
_atom_site_type_symbol
_atom_site_fract_x
_atom_site_fract_y
_atom_site_fract_z
_atom_site_occupancy
Cd1 Cd 0.039 0.807 0.000 1
Cd2 Cd 0.193 0.039 0.000 1
Cd3 Cd 0.198 0.306 0.500 1
Cd4 Cd 0.306 0.802 0.500 1
Cd5 Cd 0.694 0.198 0.500 1
Cd6 Cd 0.802 0.694 0.500 1
Cd7 Cd 0.807 0.961 0.000 1
Cd8 Cd 0.961 0.193 0.000 1
W1 W 0.105 0.574 0.500 1
W2 W 0.315 0.534 0.000 1
W3 W 0.426 0.105 0.500 1
W4 W 0.466 0.315 0.000 1
W5 W 0.534 0.685 0.000 1
W6 W 0.574 0.895 0.500 1
W7 W 0.685 0.466 0.000 1
W8 W 0.895 0.426 0.500 1
```


No. 10
Density functional theory data (GGA-PBE) for an optimized crystal structure of CdW.

## Properties
As for the crystal system: hexagonal. The calculated volume is 100.1 Å³ per cell. The calculation puts the energy relative to the lowest polymorph listed for this composition at 1969 meV per atom. For the magnetic moment, the calculation gives 0.00 μB per formula unit.

Cell and atoms, written as CIF:
```
data_CdW
_cell_length_a 4.619
_cell_length_b 4.619
_cell_length_c 5.416
_cell_angle_alpha 90.00
_cell_angle_beta 90.00
_cell_angle_gamma 120.00
_symmetry_space_group_name_H-M 'P 1'
_symmetry_Int_Tables_number 1
loop_
_symmetry_equiv_pos_as_xyz
'x,y,z'
loop_
_atom_site_label
_atom_site_type_symbol
_atom_site_fract_x
_atom_site_fract_y
_atom_site_fract_z
_atom_site_occupancy
Cd1 Cd 0.333 0.667 0.250 1
Cd2 Cd 0.667 0.333 0.750 1
W1 W 0.333 0.667 0.750 1
W2 W 0.667 0.333 0.250 1
```


Sequential formation energy output: 560 461 764 1528 1479 1929 606 491 696 2430 meV per atom